Entry 1:
First-principles (GGA-PBEsol) data for a relaxed HfI2F crystal, as listed in Alexandria.

Lattice parameters (Å, degrees): 4.932 4.932 4.932 60.00 60.00 60.00
Fractional positions:
I 0.250 0.250 0.250
I 0.750 0.750 0.750
Hf 0.500 0.500 0.500
F 0.000 0.000 0.000

Calculated values
density of states at the Fermi level: 3.25 states/eV/f.u.
formation energy without anion corrections: -0.8042 eV per atom
uncorrected energy: -4.795 eV/atom

Entry 2:
First-principles (GGA-PBEsol) data for a relaxed TePbW2 crystal, as listed in Alexandria.

Lattice parameters (Å, degrees): 3.286 4.129 7.076 90.00 90.00 90.00
Fractional positions:
Pb 0.625 0.000 0.449
Te 0.125 0.500 0.822
W 0.125 0.000 0.100
W 0.625 0.500 0.130

Calculated values
density of states at the Fermi level: 2.33 states/eV/f.u.
formation energy without anion corrections: 0.5789 eV per atom
relative energy among the computed polymorphs: 0 meV per atom
uncorrected energy: -8.206 eV/atom

Entry 3:
First-principles (GGA-PBEsol) data for a relaxed Li2TaBe crystal, as listed in Alexandria.

Lattice parameters (Å, degrees): 2.543 3.698 6.032 90.00 96.01 90.00
Fractional positions:
Be 0.544 0.500 0.744
Ta 0.997 0.000 0.534
Li 0.026 0.000 0.989
Li 0.433 0.500 0.232

Calculated values
density of states at the Fermi level: 1.60 states/eV/f.u.
formation enthalpy at 0 K: 0.33 eV per atom
uncorrected energy: -4.789 eV/atom

Entry 4:
First-principles (GGA-PBEsol) data for a relaxed Cr3HgAu crystal, as listed in Alexandria.

Lattice parameters (Å, degrees): 4.915 4.915 4.915 90.00 90.00 90.00
Fractional positions:
Cr 0.000 0.500 0.000
Cr 0.000 0.000 0.500
Cr 0.500 0.000 0.000
Au 0.000 0.000 0.000
Hg 0.500 0.500 0.500

Calculated values
density of states at the Fermi level: 3.98 states/eV/f.u.
formation enthalpy at 0 K: 1.42 eV per atom
uncorrected energy: -5.622 eV/atom

Entry 5:
First-principles (GGA-PBEsol) data for a relaxed SbBrCl2 crystal, as listed in Alexandria.

Lattice parameters (Å, degrees): 4.717 4.717 9.822 103.90 103.90 90.00
Fractional positions:
Sb 0.250 0.750 0.500
Sb 0.000 0.000 0.000
Br 0.750 0.250 0.500
Br 0.500 0.500 0.000
Cl 0.934 0.375 0.250
Cl 0.316 0.875 0.250
Cl 0.625 0.684 0.750
Cl 0.125 0.066 0.750

Calculated values
density of states at the Fermi level: 2.55 states/eV/f.u.
formation energy without anion corrections: -0.1422 eV per atom
relative energy among the computed polymorphs: 564 meV per atom
uncorrected energy: -2.753 eV/atom

Entry 6:
First-principles (GGA-PBEsol) data for a relaxed LaRe3C crystal, as listed in Alexandria.

Lattice parameters (Å, degrees): 4.731 4.731 4.731 90.00 90.00 90.00
Fractional positions:
Re 0.000 0.500 0.000
Re 0.000 0.000 0.500
Re 0.500 0.000 0.000
C 0.500 0.500 0.500
La 0.000 0.000 0.000

Calculated values
density of states at the Fermi level: 8.04 states/eV/f.u.
relative energy among the computed polymorphs: 4009 meV per atom
formation enthalpy at 0 K: 4.52 eV per atom
uncorrected energy: -6.480 eV/atom

Entry 7:
First-principles (GGA-PBEsol) data for a relaxed KBeAs crystal, as listed in Alexandria.

Lattice parameters (Å, degrees): 3.403 3.403 6.291 105.69 105.69 90.00
Fractional positions:
Be 0.408 0.408 0.815
As 0.933 0.933 0.865
K 0.660 0.660 0.319

Calculated values
density of states at the Fermi level: 1.31 states/eV/f.u.
formation enthalpy at 0 K: 0.16 eV per atom
uncorrected energy: -3.248 eV/atom

Entry 8:
First-principles (GGA-PBEsol) data for a relaxed Ta4Ag2O11 crystal, as listed in Alexandria.

Lattice parameters (Å, degrees): 6.190 6.190 12.862 76.08 76.08 60.00
Fractional positions:
Ta 0.116 0.384 0.750
Ta 0.750 0.116 0.750
Ta 0.384 0.750 0.750
Ta 0.250 0.884 0.250
Ta 0.616 0.250 0.250
Ta 0.884 0.616 0.250
Ta 0.500 0.500 0.500
Ta 0.000 0.000 0.000
Ag 0.830 0.830 0.510
Ag 0.330 0.330 0.010
Ag 0.170 0.170 0.490
Ag 0.670 0.670 0.990
O 0.754 0.064 0.907
O 0.275 0.754 0.907
O 0.064 0.275 0.907
O 0.775 0.564 0.407
O 0.254 0.775 0.407
O 0.564 0.254 0.407
O 0.246 0.936 0.093
O 0.725 0.246 0.093
O 0.936 0.725 0.093
O 0.225 0.436 0.593
O 0.746 0.225 0.593
O 0.436 0.746 0.593
O 0.499 0.001 0.750
O 0.750 0.499 0.750
O 0.001 0.750 0.750
O 0.250 0.501 0.250
O 0.999 0.250 0.250
O 0.501 0.999 0.250
O 0.906 0.906 0.281
O 0.406 0.406 0.781
O 0.094 0.094 0.719
O 0.594 0.594 0.219

Calculated values
density of states at the Fermi level: 0.00 states/eV/f.u.
formation energy without anion corrections: -2.3421 eV per atom
uncorrected energy: -9.081 eV/atom